[1]
Computed, not measured: crystalline Ba2YAg5S6 at its relaxed geometry at the PBE level of DFT.

a b c (Å): 7.3405 7.3405 11.2701
angles (deg): 84.94 84.94 33.30
Element x y z (fractional)
1 Ba 0.2543 0.2543 0.2972
2 S 0.1578 0.1578 0.8982
3 Ag 0.3534 0.3534 0.9590
4 Ag 0.6466 0.6466 0.0410
5 S 0.1250 0.1250 0.5466
6 S 0.8422 0.8422 0.1018
7 S 0.5888 0.5888 0.2675
8 Y 0.5000 0.5000 0.5000
9 Ag 0.0000 0.0000 0.0000
10 S 0.8750 0.8750 0.4534
11 Ag 0.9831 0.9831 0.2552
12 S 0.4112 0.4112 0.7325
13 Ag 0.0169 0.0169 0.7448
14 Ba 0.7457 0.7457 0.7028

Summary:
Spin magnetization (μB per formula unit): 0.00
Crystal system: monoclinic
E_tot (eV/atom): -4.5530

[2]
Computed, not measured: crystalline BaZnAgS2 at its relaxed geometry at the PBE level of DFT.

a b c (Å): 5.1659 4.7853 5.1659
angles (deg): 90.00 90.00 90.00
Element x y z (fractional)
1 Ba 0.5000 0.5000 0.5000
2 S 0.0000 0.0000 0.5000
3 S 0.5000 0.0000 0.0000
4 Zn 0.0000 0.5000 0.0000
5 Ag 0.0000 0.0000 0.0000

Summary:
Spin magnetization (μB per formula unit): 0.00
Crystal system: tetragonal
E_tot (eV/atom): -3.3859

[3]
Computed, not measured: crystalline BaZnAg2S at its relaxed geometry at the PBE level of DFT.

a b c (Å): 6.1866 6.5744 6.1866
angles (deg): 90.00 90.00 90.00
Last column: magnetic moment on the atom in μB.
Element x y z (fractional)
1 Ba 0.0000 0.0000 0.0000  0.03
2 S 0.5000 0.5000 0.5000  0.72
3 Ag 0.0000 0.0000 0.5000  0.05
4 Zn 0.0000 0.5000 0.0000  0.00
5 Ag 0.5000 0.0000 0.0000  0.04

Summary:
Spin magnetization (μB per formula unit): 1.49
Crystal system: tetragonal
E_tot (eV/atom): -1.5005

spin magnetization of number 1 (Ba2YAg5S6)? 0.00 μB per formula unit

What is the spin magnetization in the second record? 0.00 μB per formula unit

The highest spin magnetization belongs to which entry? BaZnAg2S

Among the records above, which one has the highest spin magnetization? BaZnAg2S